# 1
This record from Alexandria describes an optimized crystal structure of BeHgPO2. The functional is PBE.

abc: 3.5352 3.5352 5.2912
angles: 90.00 90.00 90.00
Closest atoms and distances in Å follow each position.
Atoms (fractional coordinates):
P  0.0000  0.0000  0.5000  4 Hg 2.50, 2 Be 2.65
Hg  0.5000  0.5000  0.5000  4 P 2.50
O  0.0000  0.5000  0.0000  2 Be 1.77
O  0.5000  0.0000  0.0000  2 Be 1.77
Be  0.0000  0.0000  0.0000  4 O 1.77

Results
Density of states at the Fermi level   0.91 states/eV/atom
Energy above the most stable polymorph in this dataset   0 meV per atom
Raw formation energy   -9.5 kJ/mol of atoms
VASP energy   -3.9693 eV/atom

***

# 2
This record from Alexandria describes an optimized crystal structure of BeHgP2O. The functional is PBE.

abc: 5.0703 5.0703 3.9896
angles: 90.00 90.00 90.00
Closest atoms and distances in Å follow each position.
Atoms (fractional coordinates):
P  0.0000  0.5000  0.0000  2 Hg 2.54
P  0.5000  0.0000  0.0000  2 Hg 2.54
Hg  0.0000  0.0000  0.0000  2 O 1.99
O  0.0000  0.0000  0.5000  2 Hg 1.99
Be  0.5000  0.5000  0.5000  8 P 3.23, 4 O 3.59

Results
Density of states at the Fermi level   1.22 states/eV/atom
Energy above the most stable polymorph in this dataset   1444 meV per atom
Raw formation energy   140.6 kJ/mol of atoms
VASP energy   -2.5038 eV/atom

***

# 3
This record from Alexandria describes an optimized crystal structure of BeHgP2O. The functional is PBE.

abc: 5.1743 5.1743 2.9266
angles: 90.00 90.00 90.00
Closest atoms and distances in Å follow each position.
Atoms (fractional coordinates):
P  0.0000  0.5000  0.0000  2 Be 2.59
P  0.5000  0.0000  0.0000  2 Be 2.59
Hg  0.5000  0.5000  0.5000  2 Hg 2.93, 8 P 2.97
O  0.0000  0.0000  0.5000  2 Be 1.46
Be  0.0000  0.0000  0.0000  2 O 1.46

Results
Density of states at the Fermi level   0.80 states/eV/atom
Energy above the most stable polymorph in this dataset   0 meV per atom
Raw formation energy   1.3 kJ/mol of atoms
VASP energy   -3.9482 eV/atom

***

# 4
This record from Alexandria describes an optimized crystal structure of BeHgPO2. The functional is PBE.

abc: 4.0223 4.0223 5.3162
angles: 90.00 90.00 90.00
Closest atoms and distances in Å follow each position.
Atoms (fractional coordinates):
P  0.0000  0.0000  0.5000  2 Hg 2.66, 4 Be 2.84
Hg  0.0000  0.0000  0.0000  4 O 2.01
O  0.0000  0.5000  0.0000  2 Hg 2.01
O  0.5000  0.0000  0.0000  2 Hg 2.01
Be  0.5000  0.5000  0.5000  4 P 2.84

Results
Density of states at the Fermi level   0.89 states/eV/atom
Energy above the most stable polymorph in this dataset   1162 meV per atom
Raw formation energy   102.6 kJ/mol of atoms
VASP energy   -2.8077 eV/atom